1.
Material: NiPdC3
Method: DFT, GGA-PBEsol
State: relaxed

Lattice parameters (Å, degrees): 3.908 3.908 3.908 90.00 90.00 90.00
Atoms (fractional coordinates):
C (0.000, 0.500, 0.000)
C (0.000, 0.000, 0.500)
C (0.500, 0.000, 0.000)
Ni (0.500, 0.500, 0.500)
Pd (0.000, 0.000, 0.000)

2.
Material: Ba2Pt
Method: DFT, GGA-PBEsol
State: relaxed

Lattice parameters (Å, degrees): 5.357 5.357 5.357 60.00 60.00 60.00
Atoms (fractional coordinates):
Ba (0.750, 0.750, 0.750)
Ba (0.250, 0.250, 0.250)
Pt (0.000, 0.000, 0.000)

3.
Material: MoIrPt2
Method: DFT, GGA-PBEsol
State: relaxed

Lattice parameters (Å, degrees): 2.740 2.740 7.865 90.00 90.00 90.00
Atoms (fractional coordinates):
Pt (0.000, 0.000, 0.990)
Pt (0.500, 0.500, 0.255)
Mo (0.500, 0.500, 0.744)
Ir (0.000, 0.000, 0.511)

The value obtained for the polymorph energy (0 for the lowest one) is 1.14 kJ/mol of atoms.

Calculated formation energy, record by record: 2.85; -0.52; -0.24 eV per atom